# 1
{
  "formula": "ThAl5Cu3",
  "functional": "PBE-GGA",
  "state": "relaxed",
  "lattice": [[3.9358, 0.0000, 0.0000], [-1.9679, 6.3168, 0.0000], [0.0000, 0.0000, 12.3785]],
  "species": ["Th", "Th", "Al", "Al", "Al", "Al", "Al", "Al", "Al", "Al", "Al", "Al", "Cu", "Cu", "Cu", "Cu", "Cu", "Cu"],
  "frac_coords": [[0.8421, 0.6843, 0.7500], [0.1579, 0.3157, 0.2500], [0.8007, 0.6015, 0.4356], [0.1993, 0.3985, 0.9356], [0.0000, 0.0000, 0.5000], [0.0000, 0.0000, 0.0000], [0.4432, 0.8863, 0.1482], [0.5568, 0.1137, 0.8518], [0.5568, 0.1137, 0.6482], [0.8007, 0.6015, 0.0644], [0.1993, 0.3985, 0.5644], [0.4432, 0.8863, 0.3518], [0.3879, 0.7758, 0.9504], [0.8699, 0.7398, 0.2500], [0.3879, 0.7758, 0.5496], [0.6121, 0.2242, 0.4504], [0.1301, 0.2602, 0.7500], [0.6121, 0.2242, 0.0496]],
  "spacegroup": "Cmcm (63)",
  "formation_energy_mev_per_atom": -267.8
}

---

# 2
{
  "formula": "YPAuS2",
  "functional": "PBE-GGA",
  "state": "relaxed",
  "lattice": [[5.1743, 0.0000, 0.0000], [0.0000, 5.1743, 0.0000], [0.0000, 0.0000, 5.4286]],
  "species": ["Y", "P", "S", "S", "Au"],
  "frac_coords": [[0.0000, 0.0000, 0.0000], [0.0000, 0.0000, 0.5000], [0.0000, 0.5000, 0.0000], [0.5000, 0.0000, 0.0000], [0.5000, 0.5000, 0.5000]],
  "spacegroup": "P4/mmm (123)",
  "e_form_raw_mev_per_atom": 351.3,
  "e_above_lowest_polymorph_mev_per_atom": 430
}

---

# 3
{
  "formula": "Th8Hg4C3Se",
  "functional": "PBE-GGA",
  "state": "relaxed",
  "lattice": [[-6.7058, 3.8901, 0.6562], [-2.6095, -3.1156, -8.1961], [1.8310, -5.4972, 5.1768]],
  "species": ["Th", "Th", "Th", "Th", "Th", "Th", "Th", "Th", "Hg", "Hg", "Hg", "Hg", "C", "C", "C", "Se"],
  "frac_coords": [[0.2441, 0.6890, 0.9451], [0.2439, 0.6890, 0.4879], [0.2744, 0.3227, 0.5488], [0.7009, 0.6890, 0.9451], [0.2991, 0.3110, 0.0549], [0.7256, 0.6773, 0.4512], [0.7561, 0.3110, 0.5121], [0.7559, 0.3110, 0.0549], [0.5000, 0.0000, 0.0000], [0.5000, 0.0000, 0.5000], [0.0000, 0.0000, 0.0000], [0.0000, 0.0000, 0.5000], [0.5000, 0.5000, 0.0000], [0.5000, 0.5000, 0.5000], [0.0000, 0.5000, 0.5000], [0.0000, 0.5000, 0.0000]],
  "spacegroup": "C2/m (12)",
  "e_form_raw_mev_per_atom": -391.3
}

---

# 4
{
  "formula": "CsCdAu2",
  "functional": "PBE-GGA",
  "state": "relaxed",
  "lattice": [[-2.4327, 1.3742, -3.8394], [1.9028, -6.0394, -3.3672], [-13.3572, -7.4420, 5.7997]],
  "species": ["Cs", "Cs", "Cs", "Cs", "Cd", "Cd", "Cd", "Cd", "Au", "Au", "Au", "Au", "Au", "Au", "Au", "Au"],
  "frac_coords": [[0.7500, 0.1223, 0.1251], [0.2500, 0.8777, 0.8749], [0.7500, 0.6223, 0.3749], [0.2500, 0.3777, 0.6251], [0.2500, 0.6264, 0.1214], [0.2500, 0.1264, 0.3786], [0.7500, 0.3736, 0.8786], [0.7500, 0.8736, 0.6214], [0.7500, 0.0883, 0.4705], [0.2500, 0.9117, 0.5295], [0.7500, 0.5883, 0.0295], [0.2500, 0.4117, 0.9705], [0.7500, 0.1242, 0.7509], [0.2500, 0.3758, 0.2509], [0.7500, 0.6242, 0.7491], [0.2500, 0.8758, 0.2491]],
  "spacegroup": "Pnma (62)",
  "formation_energy_mev_per_atom": -197.3
}

---

# 5
{
  "formula": "K2Rb4TlAs2",
  "functional": "PBE-GGA",
  "state": "relaxed",
  "lattice": [[-5.1060, -1.5580, -0.7133], [-1.3813, -7.4009, 5.8044], [-4.6455, 2.3065, 7.9669]],
  "species": ["K", "K", "Rb", "Rb", "Rb", "Rb", "Tl", "As", "As"],
  "frac_coords": [[0.3546, 0.6442, 0.6442], [0.6454, 0.3558, 0.3558], [0.1437, 0.6547, 0.0589], [0.8563, 0.9411, 0.3453], [0.8563, 0.3453, 0.9411], [0.1437, 0.0589, 0.6547], [0.5000, 0.0000, 0.0000], [0.2877, 0.2124, 0.2124], [0.7123, 0.7876, 0.7876]],
  "spacegroup": "C2/m (12)",
  "formation_energy_mev_per_atom": -166.8
}

---

# 6
{
  "formula": "NaTaSn2Ir",
  "functional": "PBE-GGA",
  "state": "relaxed",
  "lattice": [[5.1881, 0.0000, 0.0000], [0.0000, 5.0449, 0.0000], [0.0000, 0.0000, 5.1881]],
  "species": ["Na", "Ir", "Sn", "Sn", "Ta"],
  "frac_coords": [[0.5000, 0.5000, 0.5000], [0.0000, 0.0000, 0.0000], [0.0000, 0.0000, 0.5000], [0.5000, 0.0000, 0.0000], [0.0000, 0.5000, 0.0000]],
  "spacegroup": "P4/mmm (123)",
  "formation_energy_mev_per_atom": 619.3
}